Record 1
Density functional theory data (PBE-GGA) for a relaxed RbErSnTe3 crystal.

Structure (POSCAR):
```
RbErSnTe3
1.0
4.4296 0.0000 0.0000
0.0000 9.5679 -0.1229
0.0000 -3.8770 11.2917
Rb Er Te Sn
2 2 6 2
direct
0.2500 0.2208 0.2655
0.7500 0.7792 0.7345
0.2500 0.6318 0.1545
0.7500 0.3682 0.8455
0.7500 0.8751 0.2040
0.2500 0.6014 0.8926
0.2500 0.6518 0.4212
0.7500 0.3482 0.5788
0.7500 0.3986 0.1074
0.2500 0.1249 0.7960
0.7500 0.8697 0.4431
0.2500 0.1303 0.5569
```

## Properties
- theoretical density (g/cm3) = 5.3
- magnetization (μB/f.u.) = 0.0
- energy (eV/atom) = -4.1556
- ΔE_f (raw) (eV per atom) = -0.9959

Record 2
Density functional theory data (PBE-GGA) for a relaxed Th4UP5 crystal.

Structure (POSCAR):
```
Th4UP5
1.0
4.0699 0.0000 -0.5736
-0.0808 4.0691 -0.5736
0.0115 0.0118 14.8080
P Th U
5 4 1
direct
0.9027 0.9027 0.8055
0.5000 0.5000 0.0000
0.7002 0.7002 0.4005
0.2998 0.2998 0.5995
0.0973 0.0973 0.1945
0.8013 0.8013 0.6026
0.5989 0.5989 0.1979
0.4011 0.4011 0.8021
0.1987 0.1987 0.3974
0.0000 0.0000 0.0000
```

## Properties
- E_form (eV per atom) = -1.417
- DOS at the Fermi energy (states/eV/cell) = 9.39
- theoretical density (g/cm3) = 8.9
- magnetization (μB/f.u.) = 2.5
- energy (eV/atom) = -8.2185

Record 3
Density functional theory data (PBE-GGA) for a relaxed RbIn2Mo crystal.

Structure (POSCAR):
```
RbIn2Mo
1.0
-4.3456 -4.1533 -0.6478
3.8916 -3.6228 -2.8783
2.1941 -7.6753 6.2770
Mo In Rb
2 4 2
direct
0.7500 0.2500 0.5000
0.0000 0.0000 0.0000
0.8750 0.1246 0.7500
0.8754 0.6250 0.2500
0.8746 0.1250 0.2500
0.3750 0.1254 0.7500
0.2500 0.7500 0.5000
0.5000 0.5000 0.0000
```

## Properties
- relative energy among the computed polymorphs (meV/atom) = 0.0
- E_form (eV per atom) = 0.820
- DOS at the Fermi energy (states/eV/cell) = 9.20
- theoretical density (g/cm3) = 4.1
- magnetization (μB/f.u.) = 2.9
- energy (eV/atom) = -3.4990

Record 4
Density functional theory data (PBE-GGA) for a relaxed MgSb3C crystal.

Structure (POSCAR):
```
MgSb3C
1.0
4.8269 0.0000 0.0000
0.0000 4.8269 0.0000
0.0000 0.0000 4.8269
Sb Mg C
3 1 1
direct
0.5000 0.0000 0.0000
0.0000 0.5000 0.0000
0.0000 0.0000 0.5000
0.5000 0.5000 0.5000
0.0000 0.0000 0.0000
```

## Properties
- relative energy among the computed polymorphs (meV/atom) = 0.0
- DOS at the Fermi energy (states/eV/cell) = 3.40
- theoretical density (g/cm3) = 5.9
- magnetization (μB/f.u.) = 0.0
- energy (eV/atom) = -3.8169
- ΔE_f (raw) (eV per atom) = 0.8202